LiHfHN | PBE | relaxed

calculated total energy: -6.7196 eV/atom
SG: P-6m2 (187)
magnetic moment: 0.0 Bohr magnetons per cell

abc: 3.6247 3.6274 4.1315
angles: 90.00 90.00 119.98
With the nearest neighbours (Å) after each atom.
Fractional coordinates of all 4 atoms:
H  0.8366  0.6731  0.5000  2 Hf 2.07, 3 Li 2.09
Hf  0.8366  0.6731  0.0000  2 H 2.07, 3 N 2.09
N  0.1698  0.3396  0.0000  2 Li 2.07, 3 Hf 2.09
Li  0.1694  0.3388  0.5000  2 N 2.07, 3 H 2.09